First-principles (PBE-GGA) data for a relaxed structure of Li2Al4Ga3, as listed in Alexandria.

Cell: 5.0079 8.0906 8.0950 Å, 73.37 79.02 79.08°
Fractional positions:
Li (0.1949, 0.7284, 0.4876)
Li (0.3046, 0.5125, 0.2719)
Li (0.8051, 0.2716, 0.5124)
Li (0.6954, 0.4875, 0.7281)
Al (0.5308, 0.0735, 0.8234)
Al (0.9691, 0.1768, 0.9266)
Al (0.4692, 0.9265, 0.1766)
Al (0.0309, 0.8232, 0.0734)
Al (0.6386, 0.8509, 0.5972)
Al (0.8611, 0.4030, 0.1493)
Al (0.3614, 0.1491, 0.4028)
Al (0.1389, 0.5970, 0.8507)
Ga (0.0735, 0.9527, 0.7026)
Ga (0.4265, 0.2976, 0.0473)
Ga (0.9265, 0.0473, 0.2974)
Ga (0.5735, 0.7024, 0.9527)
Ga (0.2502, 0.3655, 0.6344)
Ga (0.7498, 0.6345, 0.3656)

Summary:
The total energy comes out at -3.1766 eV/atom. For the total magnetic moment, the calculation gives 0.000 μB/f.u. As for the calculated volume: 16.96 A^3/atom. Its space-group type is C2/c.